(1)
VASP calculation (PBE) on a relaxed HgBi2Pd2 crystal.

```
10
Lattice="-1.540 -4.162 6.023 7.262 -0.089 1.795 -0.500 3.352 2.188" Properties=species:S:1:pos:R:3 pbc="T T T"
Bi 0.390 0.247 3.428
Bi 4.832 -1.147 6.578
Bi 0.924 -1.849 6.762
Bi 4.298 0.950 3.244
Hg 0.000 0.000 0.000
Hg 2.861 -2.126 3.909
Pd 0.012 -2.662 4.081
Pd 3.294 -3.650 6.343
Pd 5.710 -1.589 3.738
Pd 2.428 -0.601 1.476
```

Values from the calculation:
For the density of states at the Fermi level, the calculation gives 5.17 states/eV/cell. Its energy of formation from the pure elements is -0.18 eV/atom.

***

(2)
VASP calculation (PBE) on a relaxed HgBi2Pd2 crystal.

```
5
Lattice="-2.510 -4.186 -0.425 2.494 -1.879 3.776 -3.746 -1.138 5.086" Properties=species:S:1:pos:R:3 pbc="T T T"
Bi -3.132 -4.178 3.168
Bi -0.630 -3.025 5.269
Hg 0.000 0.000 0.000
Pd -0.931 -2.564 2.518
Pd -2.831 -4.638 5.919
```

Values from the calculation:
For the density of states at the Fermi level, the calculation gives 3.75 states/eV/cell. Its energy of formation from the pure elements is 0.02 eV/atom.

***

(3)
VASP calculation (PBE) on a relaxed HgBiPd crystal.

```
12
Lattice="3.320 0.000 0.000 0.000 7.105 0.000 0.000 0.000 12.235" Properties=species:S:1:pos:R:3 pbc="T T T"
Bi 0.830 7.054 3.716
Bi 2.490 0.051 8.519
Bi 0.830 3.502 2.401
Bi 2.490 3.603 9.833
Hg 2.490 5.628 0.588
Hg 0.830 1.477 11.647
Hg 2.490 2.075 5.529
Hg 0.830 5.030 6.705
Pd 0.830 2.376 7.827
Pd 2.490 1.177 1.710
Pd 2.490 4.729 4.407
Pd 0.830 5.928 10.524
```

Values from the calculation:
For the density of states at the Fermi level, the calculation gives 5.17 states/eV/cell. Its energy of formation from the pure elements is -0.08 eV/atom.

***

(4)
VASP calculation (PBE) on a relaxed Hg4BiPd7 crystal.

```
12
Lattice="-4.317 -2.291 1.321 2.285 -6.730 5.493 -2.460 1.985 5.104" Properties=species:S:1:pos:R:3 pbc="T T T"
Pd -1.968 -0.003 3.264
Pd -2.215 -2.839 7.240
Pd -5.242 -2.798 7.117
Pd -2.158 -1.146 0.660
Pd -2.278 -4.198 4.677
Pd -2.524 -7.033 8.654
Pd 0.750 -4.238 4.801
Bi 0.000 0.000 0.000
Hg -3.466 -1.728 5.075
Hg -3.769 -4.598 8.809
Hg -0.723 -2.438 3.109
Hg -1.026 -5.308 6.843
```

Values from the calculation:
For the density of states at the Fermi level, the calculation gives 4.51 states/eV/cell. Its energy of formation from the pure elements is -0.03 eV/atom.

***

(5)
VASP calculation (PBE) on a relaxed HgBi2Pd crystal.

```
8
Lattice="-3.321 -2.820 -0.357 5.973 -3.636 -1.769 0.870 -1.887 6.814" Properties=species:S:1:pos:R:3 pbc="T T T"
Hg 2.746 -6.724 -0.351
Hg 0.776 -1.618 5.038
Bi 3.011 -3.493 -1.336
Bi 3.442 -4.428 2.043
Bi 0.080 -3.914 2.645
Bi 0.511 -4.850 6.024
Pd 1.706 -5.976 3.713
Pd 1.816 -2.367 0.975
```

Values from the calculation:
For the density of states at the Fermi level, the calculation gives 3.20 states/eV/cell. Its energy of formation from the pure elements is -0.16 eV/atom.

***

(6)
VASP calculation (PBE) on a relaxed HgBi5Pd5 crystal.

```
11
Lattice="-1.947 -1.782 -4.747 7.299 1.312 -0.380 -0.972 -6.687 2.909" Properties=species:S:1:pos:R:3 pbc="T T T"
Bi 4.475 -1.322 -1.340
Bi 1.183 -2.619 -2.609
Bi -0.486 -3.343 1.455
Bi -0.095 -5.836 -0.877
Bi 3.198 -4.538 0.392
Pd 2.940 -1.008 -3.935
Pd 1.440 -6.149 1.718
Pd -0.974 -0.891 -2.373
Pd 2.536 -5.044 -2.254
Pd 1.844 -2.113 0.037
Hg 0.000 0.000 0.000
```

Values from the calculation:
For the density of states at the Fermi level, the calculation gives 3.73 states/eV/cell. Its energy of formation from the pure elements is -0.13 eV/atom.

***

(7)
VASP calculation (PBE) on a relaxed Hg2Bi3Pd4 crystal.

```
9
Lattice="-2.147 3.287 0.310 -0.476 -2.170 -5.300 -7.218 -5.059 3.647" Properties=species:S:1:pos:R:3 pbc="T T T"
Pd -5.256 -0.851 -2.359
Pd -2.322 0.975 -1.405
Pd -4.584 -3.090 1.016
Pd -7.519 -4.917 0.063
Hg -2.573 -1.415 -2.820
Hg -7.267 -2.527 1.477
Bi 0.000 0.000 0.000
Bi -4.203 -0.411 0.263
Bi -5.637 -3.531 -1.605
```

Values from the calculation:
For the density of states at the Fermi level, the calculation gives 3.02 states/eV/cell. Its energy of formation from the pure elements is -0.15 eV/atom.

***

(8)
VASP calculation (PBE) on a relaxed HgBiPd2 crystal.

```
4
Lattice="3.388 0.000 0.000 1.694 2.934 0.000 1.694 0.978 8.420" Properties=species:S:1:pos:R:3 pbc="T T T"
Pd 1.694 0.978 6.291
Pd 1.694 0.978 2.131
Hg 3.388 1.956 4.217
Bi 5.082 2.934 8.412
```

Values from the calculation:
For the density of states at the Fermi level, the calculation gives 2.68 states/eV/cell. Its energy of formation from the pure elements is -0.08 eV/atom.

***

(9)
VASP calculation (PBE) on a relaxed HgBiPd2 crystal.

```
4
Lattice="4.253 -0.535 2.192 2.701 3.861 0.989 0.557 1.444 4.559" Properties=species:S:1:pos:R:3 pbc="T T T"
Pd 1.878 1.193 1.935
Pd 5.633 3.578 5.806
Bi 3.756 2.385 3.870
Hg 0.000 0.000 0.000
```

Values from the calculation:
For the density of states at the Fermi level, the calculation gives 1.37 states/eV/cell. Its energy of formation from the pure elements is -0.16 eV/atom.

***

(10)
VASP calculation (PBE) on a relaxed HgBiPd14 crystal.

```
16
Lattice="-3.943 4.040 1.117 -3.549 -2.402 -3.841 -3.039 -4.525 5.637" Properties=species:S:1:pos:R:3 pbc="T T T"
Pd -4.585 -0.587 -2.942
Pd -5.207 -1.200 4.482
Pd -6.556 1.434 -2.383
Pd -3.451 -2.096 -0.888
Pd -6.104 -2.849 -0.123
Pd -3.237 -3.219 3.924
Pd -1.678 -0.896 1.031
Pd -5.421 -0.078 -0.330
Pd -2.810 0.614 -1.021
Pd -6.980 -2.400 2.564
Pd -4.782 2.634 -0.463
Pd -6.301 0.372 2.356
Pd -3.648 1.122 1.589
Pd -5.010 -4.418 2.006
Hg -4.329 -1.648 1.797
Bi -8.076 -0.829 0.436
```

Values from the calculation:
For the density of states at the Fermi level, the calculation gives 31.66 states/eV/cell. Its energy of formation from the pure elements is -0.09 eV/atom.

***

(11)
VASP calculation (PBE) on a relaxed Hg2BiPd8 crystal.

```
11
Lattice="3.924 0.000 -1.192 -0.969 7.175 -3.191 0.141 -0.998 7.522" Properties=species:S:1:pos:R:3 pbc="T T T"
Pd 2.527 5.266 1.264
Pd 1.319 -0.111 4.343
Pd 3.831 0.733 5.560
Pd -0.735 5.444 -2.421
Pd 1.777 6.288 -1.205
Pd 2.271 2.635 0.420
Pd 0.569 0.911 1.875
Pd 0.826 3.542 2.719
Hg 0.010 4.379 0.034
Hg 3.086 1.798 3.105
Bi 1.962 0.000 -0.596
```

Values from the calculation:
For the density of states at the Fermi level, the calculation gives 9.45 states/eV/cell. Its energy of formation from the pure elements is -0.12 eV/atom.

***

(12)
VASP calculation (PBE) on a relaxed Hg2BiPd2 crystal.

```
5
Lattice="4.158 0.000 0.000 0.000 4.158 0.000 2.079 2.079 6.507" Properties=species:S:1:pos:R:3 pbc="T T T"
Hg 4.158 4.158 5.058
Hg 2.079 2.079 1.449
Pd 2.079 4.158 3.253
Pd 4.158 2.079 3.253
Bi 0.000 0.000 0.000
```

Values from the calculation:
For the density of states at the Fermi level, the calculation gives 2.63 states/eV/cell. Its energy of formation from the pure elements is 0.12 eV/atom.

***

Copy entry 4 word for word.
VASP calculation (PBE) on a relaxed Hg4BiPd7 crystal.

```
12
Lattice="-4.317 -2.291 1.321 2.285 -6.730 5.493 -2.460 1.985 5.104" Properties=species:S:1:pos:R:3 pbc="T T T"
Pd -1.968 -0.003 3.264
Pd -2.215 -2.839 7.240
Pd -5.242 -2.798 7.117
Pd -2.158 -1.146 0.660
Pd -2.278 -4.198 4.677
Pd -2.524 -7.033 8.654
Pd 0.750 -4.238 4.801
Bi 0.000 0.000 0.000
Hg -3.466 -1.728 5.075
Hg -3.769 -4.598 8.809
Hg -0.723 -2.438 3.109
Hg -1.026 -5.308 6.843
```

Values from the calculation:
For the density of states at the Fermi level, the calculation gives 4.51 states/eV/cell. Its energy of formation from the pure elements is -0.03 eV/atom.

***

- What is the density of states at the Fermi level in the seventh record?
  3.02 states/eV/cell

***

- The highest energy of formation from the pure elements belongs to which entry?
  Hg2BiPd2

***

- Number 1 is which compound?
  HgBi2Pd2